(1)
A relaxed structure of NaSc2Cd3. Source: Alexandria, functional GGA-PBE.

Output
ΔH_f (0 K)   -0.194 eV per atom

POSCAR file:
```
NaSc2Cd3
1.0
-3.1264 -1.5900 0.1909
1.0935 -2.4255 -2.2935
3.7892 -6.4191 8.5952
Na Cd Sc
1 3 2
direct
0.5000 0.5000 0.5000
0.0000 0.0000 0.0000
0.0000 0.0000 0.3113
0.0000 0.0000 0.6887
0.5000 0.5000 0.1589
0.5000 0.5000 0.8411
```



(2)
A relaxed structure of NaScCd. Source: Alexandria, functional GGA-PBE.

Output
ΔH_f (0 K)   0.025 eV per atom

POSCAR file:
```
NaScCd
1.0
-1.7807 -0.4090 4.1858
-1.0645 -0.4867 -2.9921
4.6868 -14.0616 0.6198
Cd Sc Na
2 2 2
direct
0.6932 0.3864 0.0000
0.1961 0.3923 0.5000
0.1933 0.3867 0.8592
0.1933 0.3867 0.1408
0.6953 0.3906 0.3325
0.6953 0.3906 0.6675
```



(3)
A relaxed structure of NaScCd2. Source: Alexandria, functional GGA-PBE.

Output
ΔH_f (0 K)   0.190 eV per atom

POSCAR file:
```
NaScCd2
1.0
8.0461 0.0000 0.0000
0.0000 8.0461 0.0000
4.0230 4.0230 3.1896
Cd Na Sc
4 2 2
direct
0.3750 0.3720 0.7500
0.8750 0.8780 0.7500
0.6280 0.1250 0.2500
0.1220 0.6250 0.2500
0.5000 0.5000 0.0000
0.2500 0.7500 0.5000
0.7500 0.2500 0.5000
0.0000 0.0000 0.0000
```



(4)
A relaxed structure of NaScCd2. Source: Alexandria, functional GGA-PBE.

Output
ΔH_f (0 K)   -0.053 eV per atom

POSCAR file:
```
NaScCd2
1.0
3.3206 0.0000 0.0000
1.6603 2.8757 0.0000
1.6603 0.9586 10.3257
Na Sc Cd
1 1 2
direct
0.5000 0.5000 0.5000
0.0000 0.0000 0.0000
0.2546 0.2546 0.2362
0.7454 0.7454 0.7638
```



(5)
A relaxed structure of NaSc2Cd. Source: Alexandria, functional GGA-PBE.

Output
ΔH_f (0 K)   0.369 eV per atom

POSCAR file:
```
NaSc2Cd
1.0
-6.1248 3.9910 3.7997
-4.1692 -7.0709 0.7067
-3.8241 -2.0530 4.9245
Sc Na Cd
4 2 2
direct
0.1048 0.6250 0.2500
0.3750 0.3548 0.7500
0.6452 0.1250 0.2500
0.8750 0.8952 0.7500
0.5000 0.5000 0.0000
0.2500 0.7500 0.5000
0.7500 0.2500 0.5000
0.0000 0.0000 0.0000
```



(6)
A relaxed structure of NaScCd2. Source: Alexandria, functional GGA-PBE.

Output
ΔH_f (0 K)   -0.050 eV per atom

POSCAR file:
```
NaScCd2
1.0
-2.6675 1.2908 1.4915
-2.6460 0.8749 -1.7999
-5.7132 -8.7822 1.0723
Cd Na Sc
2 1 1
direct
0.2548 0.2548 0.2356
0.0787 0.0787 0.7640
0.4998 0.4998 0.5007
0.6668 0.6668 0.9997
```



(7)
A relaxed structure of NaSc2Cd. Source: Alexandria, functional GGA-PBE.

Output
ΔH_f (0 K)   0.157 eV per atom

POSCAR file:
```
NaSc2Cd
1.0
1.8824 0.0000 11.4743
-0.9412 1.6302 11.4743
-0.9412 -1.6302 11.4743
Sc Cd Na
2 1 1
direct
0.9046 0.9046 0.9046
0.0954 0.0954 0.0954
0.5000 0.5000 0.5000
0.0000 0.0000 0.0000
```



(8)
A relaxed structure of NaScCd2. Source: Alexandria, functional GGA-PBE.

Output
ΔH_f (0 K)   -0.147 eV per atom

POSCAR file:
```
NaScCd2
1.0
-1.9972 1.4903 2.2243
2.5990 -2.3740 3.9242
3.3317 4.0771 0.2598
Na Sc Cd
1 1 2
direct
0.5000 0.0000 0.0000
0.5000 0.5000 0.5000
0.0000 0.0000 0.5000
0.0000 0.5000 0.0000
```



(9)
A relaxed structure of NaScCd3. Source: Alexandria, functional GGA-PBE.

Output
Energy above the lowest structure with this stoichiometry   0.000 eV per atom
ΔH_f (0 K)   0.385 eV per atom

POSCAR file:
```
NaScCd3
1.0
-1.1943 1.2620 5.3720
-5.4655 -1.0285 -0.9735
0.7610 -5.4062 1.4392
Cd Sc Na
3 1 1
direct
0.0000 0.5000 0.0000
0.5000 0.0000 0.0000
0.0000 0.0000 0.5000
0.0000 0.0000 0.0000
0.5000 0.5000 0.5000
```



(10)
A relaxed structure of NaScCdSn. Source: Alexandria, functional GGA-PBE.

Output
ΔH_f (0 K)   -0.263 eV per atom

POSCAR file:
```
NaScCdSn
1.0
-0.2710 -4.2727 2.7782
2.1495 -4.2996 -1.7150
4.1864 -1.8401 2.2662
Sc Na Cd Sn
1 1 1 1
direct
0.5000 0.5000 0.5000
0.0000 0.0000 0.0000
0.2500 0.2500 0.2500
0.7500 0.7500 0.7500
```



(11)
A relaxed structure of Na2SrScCd. Source: Alexandria, functional GGA-PBE.

Output
ΔH_f (0 K)   0.497 eV per atom

POSCAR file:
```
Na2SrScCd
1.0
5.6589 0.0000 0.0000
0.0000 5.6589 0.0000
0.0000 0.0000 6.2753
Na Sc Cd Sr
2 1 1 1
direct
0.5000 0.0000 0.0000
0.0000 0.5000 0.0000
0.5000 0.5000 0.5000
0.0000 0.0000 0.0000
0.0000 0.0000 0.5000
```



(12)
A relaxed structure of Na4Sc3CdTe8. Source: Alexandria, functional GGA-PBE.

Output
Formation energy from raw total energies   -992 meV/atom

POSCAR file:
```
Na4Sc3CdTe8
1.0
8.4552 0.0000 0.0000
0.0000 9.0704 0.4224
-4.2276 -4.2245 5.9841
Te Sc Na Cd
8 3 4 1
direct
0.2456 0.7214 0.4912
0.7547 0.2788 0.0240
0.7544 0.2786 0.5088
0.7307 0.7212 0.9760
0.2600 0.2799 0.5199
0.2453 0.7212 0.9760
0.2693 0.2788 0.0240
0.7400 0.7201 0.4801
0.0000 0.5000 0.5000
0.5000 0.5000 0.5000
0.5000 0.5000 0.0000
0.5000 0.0000 0.5000
0.0000 0.0000 0.0000
0.0000 0.0000 0.5000
0.5000 0.0000 0.0000
0.0000 0.5000 0.0000
```



(13)
A relaxed structure of NaScCdTe3. Source: Alexandria, functional GGA-PBE.

Output
Formation energy from raw total energies   -870 meV/atom

POSCAR file:
```
NaScCdTe3
1.0
-2.4798 -1.7921 3.1060
7.0681 -1.1818 4.9613
-4.6738 10.2079 2.1584
Te Sc Na Cd
6 2 2 2
direct
0.7500 0.9186 0.1444
0.2500 0.0814 0.8556
0.2500 0.5550 0.8692
0.2500 0.7337 0.4240
0.7500 0.4450 0.1308
0.7500 0.2663 0.5760
0.2500 0.6775 0.1421
0.7500 0.3225 0.8579
0.7500 0.8011 0.8333
0.2500 0.1989 0.1667
0.2500 0.0706 0.6065
0.7500 0.9294 0.3935
```